Entry 1:
TcAs: relaxed, PBE.

Properties
formation energy from the elements: 0.37 eV per atom
crystal system: hexagonal
total DFT energy (no corrections): -0.26225 hartree per atom
distance to the lowest polymorph of the same formula: 575 meV per atom

Cell lengths 4.215, 4.215, 5.069 Å; angles 90.00, 90.00, 120.00 degrees
Positions (direct):
Tc: 0.667 0.333 0.935
As: 0.333 0.667 0.936
As: 0.667 0.333 0.436
Tc: 0.333 0.667 0.435

=====

Entry 2:
TcTeAs2: relaxed, PBE.

Properties
crystal system: orthorhombic
total DFT energy (no corrections): -0.18749 hartree per atom
formation energy (no corrections): 0.600 eV per atom

Cell lengths 3.292, 4.639, 4.956 Å; angles 90.00, 90.00, 90.00 degrees
Positions (direct):
As: 0.000 0.000 0.000
Te: 0.000 0.500 0.500
Tc: 0.500 0.000 0.500
As: 0.500 0.500 0.000

=====

Entry 3:
Tc2TeAs: relaxed, PBE.

Properties
crystal system: orthorhombic
total DFT energy (no corrections): -0.24079 hartree per atom
distance to the lowest polymorph of the same formula: 544 meV per atom
formation energy (no corrections): 0.579 eV per atom

Cell lengths 3.075, 3.075, 8.386 Å; angles 90.00, 90.00, 116.81 degrees
Positions (direct):
Tc: 0.000 0.000 0.532
Tc: 0.000 0.000 0.968
As: 0.500 0.500 0.750
Te: 0.500 0.500 0.250

=====

Entry 4:
TcTeAs2: relaxed, PBE.

Properties
crystal system: orthorhombic
total DFT energy (no corrections): -0.19874 hartree per atom
formation energy (no corrections): 0.294 eV per atom

Cell lengths 6.241, 6.241, 6.241 Å; angles 150.97, 134.44, 54.93 degrees
Positions (direct):
Tc: 0.250 0.750 0.500
Te: 0.750 0.250 0.500
As: 0.434 0.434 0.000
As: 0.066 0.066 0.000

=====

Entry 5:
Tc2TeAs: relaxed, PBE.

Properties
crystal system: tetragonal
total DFT energy (no corrections): -0.26078 hartree per atom
distance to the lowest polymorph of the same formula: 0 meV per atom
formation energy (no corrections): 0.035 eV per atom

Cell lengths 3.083, 3.083, 8.034 Å; angles 90.00, 90.00, 90.00 degrees
Positions (direct):
Tc: 0.500 0.500 0.228
Te: 0.000 0.000 0.433
Tc: 0.000 0.000 0.006
As: 0.500 0.500 0.833

=====

Entry 6:
TcTeAs2: relaxed, PBE.

Properties
crystal system: monoclinic
total DFT energy (no corrections): -0.20055 hartree per atom
formation energy (no corrections): 0.244 eV per atom

Cell lengths 4.557, 4.291, 4.374 Å; angles 74.36, 90.00, 90.00 degrees
Positions (direct):
Te: 0.500 0.750 0.750
As: 0.000 0.059 0.069
Tc: 0.500 0.250 0.250
As: 0.000 0.441 0.431

=====

Entry 7:
TcTeAs2: relaxed, PBE.

Properties
crystal system: monoclinic
total DFT energy (no corrections): -0.18818 hartree per atom
formation energy (no corrections): 0.581 eV per atom

Cell lengths 3.342, 4.573, 6.092 Å; angles 54.45, 90.00, 90.00 degrees
Positions (direct):
Tc: 0.500 0.500 0.500
As: 0.500 0.500 0.000
Te: 0.000 0.000 0.500
As: 0.000 0.000 0.000

=====

Entry 8:
TcTeAs2: relaxed, PBE.

Properties
crystal system: tetragonal
total DFT energy (no corrections): -0.20435 hartree per atom
formation energy (no corrections): 0.141 eV per atom

Cell lengths 3.320, 3.320, 7.532 Å; angles 90.00, 90.00, 90.00 degrees
Positions (direct):
Tc: 0.000 0.000 0.461
As: 0.000 0.000 0.098
Te: 0.500 0.500 0.674
As: 0.500 0.500 0.267

=====

Entry 9:
TcTeAs3: relaxed, PBE.

Properties
crystal system: cubic
total DFT energy (no corrections): -0.18873 hartree per atom
distance to the lowest polymorph of the same formula: 0 meV per atom
formation energy (no corrections): 0.356 eV per atom

Cell lengths 4.844, 4.844, 4.844 Å; angles 90.00, 90.00, 90.00 degrees
Positions (direct):
As: 0.000 0.500 0.000
Tc: 0.000 0.000 0.000
Te: 0.500 0.500 0.500
As: 0.500 0.000 0.000
As: 0.000 0.000 0.500

=====

Entry 10:
Tc4TeAs: relaxed, PBE.

Properties
crystal system: cubic
total DFT energy (no corrections): -0.27757 hartree per atom
formation energy (no corrections): 0.656 eV per atom

Cell lengths 5.255, 5.255, 5.255 Å; angles 60.00, 60.00, 60.00 degrees
Positions (direct):
Tc: 0.876 0.375 0.375
Tc: 0.375 0.375 0.375
Tc: 0.375 0.876 0.375
As: 0.000 0.000 0.000
Te: 0.750 0.750 0.750
Tc: 0.375 0.375 0.876

=====

Entry 11:
Tc2TeAs: relaxed, PBE.

Properties
crystal system: cubic
total DFT energy (no corrections): -0.25617 hartree per atom
distance to the lowest polymorph of the same formula: 125 meV per atom
formation energy (no corrections): 0.160 eV per atom

Cell lengths 4.512, 4.512, 4.512 Å; angles 60.00, 60.00, 60.00 degrees
Positions (direct):
Tc: 0.750 0.750 0.750
As: 0.000 0.000 0.000
Te: 0.500 0.500 0.500
Tc: 0.250 0.250 0.250

=====

Entry 12:
Tc2TeAs: relaxed, PBE.

Properties
crystal system: monoclinic
total DFT energy (no corrections): -0.25467 hartree per atom
distance to the lowest polymorph of the same formula: 166 meV per atom
formation energy (no corrections): 0.201 eV per atom

Cell lengths 4.304, 4.304, 5.615 Å; angles 77.87, 77.87, 42.79 degrees
Positions (direct):
Tc: 0.497 0.497 0.540
Tc: 0.003 0.003 0.960
Te: 0.250 0.250 0.250
As: 0.750 0.750 0.750

=====

Question: Look up the total DFT energy (no corrections) of the eleventh one.
Answer: -0.25617 hartree per atom